VASP calculation (GGA+U) on a relaxed KAcV2O6 crystal.

abc: 11.081 10.792 6.158
angles: 90.00 104.30 90.00
Space group C2/c (No. 15)
Unique sites:
K: 0.000 0.162 0.250 [4 per cell]
Ac: 0.000 0.385 0.750 [4 per cell]
V: 0.213 0.081 0.770 [8 per cell]
O: 0.118 0.426 0.143 [8 per cell]
O: 0.139 0.223 0.680 [8 per cell]
O: 0.163 0.025 0.022 [8 per cell]

Calculated values
Calculated density (Mg/m³): 4.3
Raw total energy (eV/cell): -293.1